Material: Cs2TiCl6O
Method: DFT, PBE
State: relaxed

abc: 7.354 7.354 7.685
angles: 61.42 61.42 90.00
Last column: magnetic moment on the atom in μB.
Sites, in units of the cell vectors:
Cs: 0.750 0.250 0.500  0.00
Cs: 0.250 0.750 0.500  0.00
Cl: 0.773 0.773 0.000  0.03
Cl: 0.227 0.227 0.000  0.03
Cl: 0.791 0.791 0.418  0.00
Cl: 0.773 0.227 0.000  0.04
Cl: 0.227 0.773 0.000  0.04
Cl: 0.209 0.209 0.582  0.00
Ti: 0.000 0.000 0.000  0.04
O: 0.500 0.500 0.000  1.43

Computed properties:
Total magnetization in μB per formula unit: 2.00
Energy relative to the elements, uncorrected in eV/atom: -1.3658
Crystal system: tetragonal
Fermi-level density of states in states/eV/f.u.: 0.0
Energy in eV/atom: -3.930

---

Material: Ba3InPt8
Method: DFT, PBE
State: relaxed

abc: 5.642 5.642 9.736
angles: 73.16 73.16 60.00
Sites, in units of the cell vectors:
Pt: 0.934 0.436 0.194
Pt: 0.436 0.436 0.194
Pt: 0.188 0.188 0.435
Pt: 0.445 0.938 0.680
Pt: 0.938 0.445 0.680
Pt: 0.938 0.938 0.680
Pt: 0.436 0.934 0.194
Pt: 0.687 0.687 0.938
Ba: 0.998 0.998 0.007
Ba: 0.502 0.502 0.495
Ba: 0.375 0.375 0.875
In: 0.874 0.874 0.378

Computed properties:
Total magnetization in μB per formula unit: 0.00
Polymorph energy (0 for the lowest one) in meV per atom: 0
Crystal system: trigonal
Fermi-level density of states in states/eV/f.u.: 3.8
Energy of formation from the pure elements in eV per atom: -0.646
Energy in eV/atom: -5.382

---

Material: CuAuSe4
Method: DFT, PBE
State: relaxed

abc: 5.665 5.665 5.665
angles: 60.00 60.00 60.00
Sites, in units of the cell vectors:
Se: 0.375 0.875 0.375
Se: 0.375 0.375 0.875
Se: 0.375 0.375 0.375
Se: 0.875 0.375 0.375
Au: 0.750 0.750 0.750
Cu: 0.000 0.000 0.000

Computed properties:
Total magnetization in μB per formula unit: 0.00
Energy relative to the elements, uncorrected in eV/atom: 0.7787
Crystal system: cubic
Fermi-level density of states in states/eV/f.u.: 7.1
Energy in eV/atom: -2.773

---

Material: YPC
Method: DFT, PBE
State: relaxed

abc: 7.622 3.596 7.610
angles: 90.00 95.33 90.00
Sites, in units of the cell vectors:
P: 0.923 0.500 0.199
P: 0.077 0.500 0.801
P: 0.077 0.000 0.301
P: 0.923 0.000 0.699
C: 0.454 0.000 0.922
C: 0.546 0.000 0.078
C: 0.546 0.500 0.578
C: 0.454 0.500 0.422
Y: 0.691 0.000 0.374
Y: 0.309 0.000 0.626
Y: 0.309 0.500 0.126
Y: 0.691 0.500 0.874

Computed properties:
Total magnetization in μB per formula unit: 0.00
Polymorph energy (0 for the lowest one) in meV per atom: 3
Crystal system: monoclinic
Fermi-level density of states in states/eV/f.u.: 0.4
Energy of formation from the pure elements in eV per atom: -0.499
Energy in eV/atom: -7.532

---

Material: Zr2NiAg
Method: DFT, PBE
State: relaxed

abc: 5.679 5.679 4.661
angles: 67.16 67.16 32.92
Sites, in units of the cell vectors:
Zr: 0.032 0.032 0.958
Zr: 0.253 0.253 0.251
Ag: 0.466 0.466 0.524
Ni: 0.749 0.749 0.767

Computed properties:
Total magnetization in μB per formula unit: 0.00
Crystal system: monoclinic
Fermi-level density of states in states/eV/f.u.: 5.3
Energy of formation from the pure elements in eV per atom: -0.058
Energy in eV/atom: -6.491

---

Material: LiCdRh2
Method: DFT, PBE
State: relaxed

abc: 3.094 3.094 6.213
angles: 90.00 90.00 90.00
Last column: magnetic moment on the atom in μB.
Sites, in units of the cell vectors:
Li: 0.500 0.500 0.750  -0.01
Rh: 0.000 0.000 0.536  0.43
Rh: 0.000 0.000 0.964  0.43
Cd: 0.500 0.500 0.250  0.00

Computed properties:
Total magnetization in μB per formula unit: 0.86
Crystal system: tetragonal
Fermi-level density of states in states/eV/f.u.: 5.2
Energy of formation from the pure elements in eV per atom: 0.008
Energy in eV/atom: -4.375

---

Material: Ag3Ir
Method: DFT, PBE
State: relaxed

abc: 5.050 5.050 11.638
angles: 150.25 150.25 31.97
Last column: magnetic moment on the atom in μB.
Sites, in units of the cell vectors:
Ir: 0.000 0.000 0.250  0.65
Ag: 0.991 0.991 0.494  0.01
Ag: 0.000 0.000 0.750  0.01
Ag: 0.009 0.009 0.006  0.01

Computed properties:
Total magnetization in μB per formula unit: 0.68
Crystal system: monoclinic
Fermi-level density of states in states/eV/f.u.: 2.2
Energy of formation from the pure elements in eV per atom: 0.325
Energy in eV/atom: -4.029

---

Material: AgHgAs2Se
Method: DFT, PBE
State: relaxed

abc: 5.072 5.072 5.133
angles: 90.00 90.00 90.00
Last column: magnetic moment on the atom in μB.
Sites, in units of the cell vectors:
Hg: 0.500 0.500 0.500  0.01
As: 0.500 0.000 0.000  0.18
As: 0.000 0.500 0.000  0.18
Se: 0.000 0.000 0.500  0.05
Ag: 0.000 0.000 0.000  0.01

Computed properties:
Total magnetization in μB per formula unit: 0.86
Energy relative to the elements, uncorrected in eV/atom: 0.7898
Polymorph energy (0 for the lowest one) in meV per atom: 0
Crystal system: tetragonal
Fermi-level density of states in states/eV/f.u.: 5.0
Energy in eV/atom: -2.397

---

Material: Nd2Sm3Y6In
Method: DFT, PBE
State: relaxed

abc: 6.169 6.169 11.809
angles: 95.01 95.01 120.02
Sites, in units of the cell vectors:
Sm: 0.833 0.167 0.500
Sm: 0.500 0.500 0.500
Sm: 0.167 0.833 0.500
Y: 0.408 0.082 0.247
Y: 0.592 0.918 0.753
Y: 0.244 0.244 0.753
Y: 0.082 0.408 0.247
Y: 0.756 0.756 0.247
Y: 0.918 0.592 0.753
Nd: 0.334 0.666 0.000
Nd: 0.666 0.334 0.000
In: 0.000 0.000 0.000

Computed properties:
Total magnetization in μB per formula unit: 0.00
Crystal system: monoclinic
Fermi-level density of states in states/eV/f.u.: 16.5
Energy of formation from the pure elements in eV per atom: -0.058
Energy in eV/atom: -5.493

---

Material: TlIn2Br
Method: DFT, PBE
State: relaxed

abc: 6.368 6.368 5.311
angles: 79.68 79.68 35.08
Sites, in units of the cell vectors:
Br: 0.250 0.250 0.250
In: 0.004 0.004 0.002
In: 0.496 0.496 0.498
Tl: 0.750 0.750 0.750

Computed properties:
Total magnetization in μB per formula unit: 0.00
Energy relative to the elements, uncorrected in eV/atom: -0.2246
Polymorph energy (0 for the lowest one) in meV per atom: 30
Crystal system: monoclinic
Fermi-level density of states in states/eV/f.u.: 1.3
Energy in eV/atom: -2.604

---

Material: CsGaBi
Method: DFT, PBE
State: relaxed

abc: 3.908 3.908 7.677
angles: 104.74 104.74 90.00
Sites, in units of the cell vectors:
Ga: 0.696 0.696 0.391
Cs: 0.006 0.006 0.011
Bi: 0.299 0.299 0.598

Computed properties:
Total magnetization in μB per formula unit: 0.00
Crystal system: tetragonal
Fermi-level density of states in states/eV/f.u.: 1.2
Energy of formation from the pure elements in eV per atom: -0.119
Energy in eV/atom: -2.706

---

Material: MnFeSb3
Method: DFT, PBE
State: relaxed

abc: 4.936 4.936 4.936
angles: 90.00 90.00 90.00
Last column: magnetic moment on the atom in μB.
Sites, in units of the cell vectors:
Mn: 0.000 0.000 0.000  0.52
Fe: 0.500 0.500 0.500  3.16
Sb: 0.000 0.000 0.500  -0.02
Sb: 0.000 0.500 0.000  -0.05
Sb: 0.500 0.000 0.000  -0.06

Computed properties:
Total magnetization in μB per formula unit: 3.63
Energy relative to the elements, uncorrected in eV/atom: 0.8856
Polymorph energy (0 for the lowest one) in meV per atom: 0
Crystal system: cubic
Fermi-level density of states in states/eV/f.u.: 10.5
Energy in eV/atom: -5.114